Record 1
Computed, not measured: Ag2CF2 after structural relaxation at the PBE-GGA level of DFT.

The calculation puts the energy above the lowest structure with this stoichiometry at 0.0000 eV/atom. The size of the total moment comes out at 0.0 μB per formula unit.

The structure belongs to space group P4/mbm (No. 127); the cell edges are 6.031, 6.031 and 4.256 Å and the angles 90.00°, 90.00° and 90.00°. The inequivalent atoms are Ag at (0.232, 0.268, 0.000), C at (0.000, 0.000, 0.000) and F at (0.189, 0.311, 0.500).

Record 2
Computed, not measured: SmY2Mg5 after structural relaxation at the PBE-GGA level of DFT.

The calculation puts the formation energy at -99 meV/atom. The size of the total moment comes out at 0.1 μB per formula unit.

The structure belongs to space group I4/mmm (No. 139); the cell edges are 5.281, 5.281 and 15.190 Å and the angles 90.00°, 90.00° and 90.00°. The inequivalent atoms are Sm at (0.000, 0.000, 0.000), Y at (0.000, 0.000, 0.258), Mg at (0.000, 0.000, 0.500) and Mg at (0.000, 0.500, 0.121).

In states/eV/f.u., the density of states at the Fermi level values for the records above are, in order, 2.91 5.84.